1.
Computed, not measured: HfTlBi2 after structural relaxation at the GGA-PBE level of DFT.

a b c (Å): 6.9837 6.9837 8.4994
angles (deg): 65.74 65.74 90.00
Fractional positions:
Hf: 0.2500 0.7500 0.5000
Hf: 0.5000 0.5000 0.0000
Tl: 0.0000 0.0000 0.0000
Tl: 0.7500 0.2500 0.5000
Bi: 0.8750 0.8353 0.7500
Bi: 0.1647 0.6250 0.2500
Bi: 0.3750 0.4147 0.7500
Bi: 0.5853 0.1250 0.2500

Values from the calculation:
Calculated density   7.9 g/cm³
SG   I-42d, No. 122
Formation energy from the elements   327.2 meV/atom
Magnetization   0.000 μB per cell
Relative energy among the computed polymorphs   8.50 kcal/mol of atoms
Uncorrected energy   -4.693 eV/atom

---

2.
Computed, not measured: KInHg2Cl4 after structural relaxation at the GGA-PBE level of DFT.

a b c (Å): 8.4814 8.8565 7.8506
angles (deg): 125.03 122.57 97.08
Fractional positions:
Cl: 0.8183 0.6619 0.7600
Cl: 0.1049 0.0848 0.8023
Cl: 0.6208 0.4053 0.0069
Cl: 0.4651 0.7986 0.3679
In: 0.7515 0.7245 0.4770
Hg: 0.1369 0.3783 0.4586
Hg: 0.5831 0.9615 0.0404
K: 0.9064 0.3722 0.8609

Values from the calculation:
Calculated density   3.6 g/cm³
SG   P1, No. 1
Magnetization   0.000 μB per cell
Formation energy without anion corrections   -1.0084 eV/atom
Uncorrected energy   -2.487 eV/atom

---

3.
Computed, not measured: Li2B2F7 after structural relaxation at the GGA-PBE level of DFT.

a b c (Å): 4.5783 5.3910 5.3910
angles (deg): 95.15 105.13 105.13
Last column: magnetic moment on the atom in μB.
Fractional positions:
Li: 0.5000 0.7002 0.2998  0.00
Li: 0.5000 0.2998 0.7002  0.00
F: 0.0000 0.0000 0.0000  0.00
F: 0.2765 0.9177 0.6262  0.02
F: 0.8049 0.6178 0.6178  0.01
F: 0.1951 0.3822 0.3822  0.01
F: 0.2765 0.6262 0.9177  0.02
F: 0.7235 0.0823 0.3738  0.02
F: 0.7235 0.3738 0.0823  0.02
B: 0.8942 0.2159 0.2159  0.22
B: 0.1058 0.7841 0.7841  0.22

Values from the calculation:
Calculated density   2.3 g/cm³
SG   C2/m, No. 12
Magnetization   0.900 μB per cell
Relative energy among the computed polymorphs   1.50 kcal/mol of atoms
Formation energy without anion corrections   -2.4413 eV/atom
Uncorrected energy   -5.194 eV/atom

---

4.
Computed, not measured: NdMgNi2 after structural relaxation at the GGA-PBE level of DFT.

a b c (Å): 4.0388 7.5689 9.9825
angles (deg): 90.00 90.00 90.00
Fractional positions:
Ni: 0.7500 0.2489 0.0718
Ni: 0.2500 0.2511 0.5718
Ni: 0.7500 0.7489 0.4282
Ni: 0.2500 0.6476 0.3353
Ni: 0.7500 0.3524 0.6647
Ni: 0.7500 0.8524 0.8353
Ni: 0.2500 0.7511 0.9282
Ni: 0.2500 0.1476 0.1647
Nd: 0.2500 0.1471 0.8622
Nd: 0.2500 0.6471 0.6378
Nd: 0.7500 0.8529 0.1378
Nd: 0.7500 0.3529 0.3622
Mg: 0.2500 0.9848 0.3930
Mg: 0.7500 0.5152 0.8930
Mg: 0.2500 0.4848 0.1070
Mg: 0.7500 0.0152 0.6070

Values from the calculation:
Calculated density   6.2 g/cm³
SG   Pnma, No. 62
Formation energy from the elements   -255.8 meV/atom
Magnetization   0.000 μB per cell
Uncorrected energy   -4.737 eV/atom

---

5.
Computed, not measured: Dy13Co2 after structural relaxation at the GGA-PBE level of DFT.

a b c (Å): 6.2916 8.0839 9.6292
angles (deg): 114.81 89.38 97.39
Fractional positions:
Dy: 0.2271 0.3849 0.9311
Dy: 0.8338 0.0676 0.3862
Dy: 0.5464 0.2303 0.1485
Dy: 0.0000 0.0000 0.0000
Dy: 0.7729 0.6151 0.0689
Dy: 0.4044 0.3220 0.5531
Dy: 0.3095 0.8413 0.2276
Dy: 0.9395 0.5242 0.6876
Dy: 0.5956 0.6780 0.4469
Dy: 0.6905 0.1587 0.7724
Dy: 0.4536 0.7697 0.8515
Dy: 0.1662 0.9324 0.6138
Dy: 0.0605 0.4758 0.3124
Co: 0.1965 0.1680 0.2836
Co: 0.8035 0.8320 0.7164

Values from the calculation:
Calculated density   8.4 g/cm³
SG   P-1, No. 2
Formation energy from the elements   -23.7 meV/atom
Magnetization   0.001 μB per cell
Uncorrected energy   -4.960 eV/atom

---

6.
Computed, not measured: TlSnGe2Se6 after structural relaxation at the GGA-PBE level of DFT.

a b c (Å): 7.3944 9.0538 9.0538
angles (deg): 81.09 76.55 76.55
Fractional positions:
Tl: 0.7500 0.1735 0.8265
Tl: 0.2500 0.8265 0.1735
Se: 0.3426 0.1684 0.0322
Se: 0.1118 0.5987 0.0541
Se: 0.5423 0.5827 0.6801
Se: 0.6574 0.8316 0.9678
Se: 0.9577 0.3199 0.4173
Se: 0.6118 0.0541 0.5987
Se: 0.1574 0.9678 0.8316
Se: 0.4577 0.4173 0.3199
Se: 0.8426 0.0322 0.1684
Se: 0.8882 0.4013 0.9459
Se: 0.0423 0.6801 0.5827
Se: 0.3882 0.9459 0.4013
Sn: 0.2500 0.2613 0.7387
Sn: 0.7500 0.7387 0.2613
Ge: 0.7805 0.6364 0.8014
Ge: 0.7195 0.1986 0.3636
Ge: 0.2195 0.3636 0.1986
Ge: 0.2805 0.8014 0.6364

Values from the calculation:
Calculated density   5.5 g/cm³
SG   C2/c, No. 15
Magnetization   0.000 μB per cell
Formation energy without anion corrections   -0.2382 eV/atom
Uncorrected energy   -3.889 eV/atom

---

7.
Computed, not measured: ZrSnCF2 after structural relaxation at the GGA-PBE level of DFT.

a b c (Å): 4.1302 4.7211 4.1302
angles (deg): 90.00 90.00 90.00
Fractional positions:
C: 0.0000 0.0000 0.0000
F: 0.0000 0.0000 0.5000
F: 0.5000 0.0000 0.0000
Zr: 0.5000 0.5000 0.5000
Sn: 0.0000 0.5000 0.0000

Values from the calculation:
Calculated density   5.4 g/cm³
SG   P4/mmm, No. 123
Magnetization   0.000 μB per cell
Formation energy without anion corrections   0.2230 eV/atom
Uncorrected energy   -4.880 eV/atom

---

8.
Computed, not measured: LaCeTc after structural relaxation at the GGA-PBE level of DFT.

a b c (Å): 4.7802 4.4021 4.4021
angles (deg): 120.00 90.00 90.00
Fractional positions:
La: 0.6666 0.3333 0.6667
Ce: 0.1666 0.6667 0.3333
Tc: 0.1668 0.0000 0.0000

Values from the calculation:
Calculated density   7.8 g/cm³
SG   P-6m2, No. 187
Formation energy from the elements   -1.8 meV/atom
Magnetization   0.000 μB per cell
Relative energy among the computed polymorphs   1.76 kcal/mol of atoms
Uncorrected energy   -7.078 eV/atom

---

9.
Computed, not measured: PmSmSn6 after structural relaxation at the GGA-PBE level of DFT.

a b c (Å): 4.7472 4.7472 9.5498
angles (deg): 90.00 90.00 90.00
Fractional positions:
Sn: 0.5000 0.0000 0.2508
Sn: 0.5000 0.0000 0.7492
Sn: 0.0000 0.5000 0.7492
Sn: 0.0000 0.5000 0.2508
Sn: 0.5000 0.5000 0.0000
Sn: 0.5000 0.5000 0.5000
Sm: 0.0000 0.0000 0.5000
Pm: 0.0000 0.0000 0.0000

Values from the calculation:
Calculated density   7.8 g/cm³
SG   P4/mmm, No. 123
Formation energy from the elements   -481.7 meV/atom
Magnetization   0.000 μB per cell
Uncorrected energy   -4.668 eV/atom

---

10.
Computed, not measured: Zr4PdRu after structural relaxation at the GGA-PBE level of DFT.

a b c (Å): 3.9617 6.1451 6.1451
angles (deg): 91.45 90.00 90.00
Fractional positions:
Zr: 0.5000 0.7113 0.2886
Zr: 0.0000 0.1965 0.1965
Zr: 0.0000 0.8035 0.8035
Zr: 0.5000 0.2887 0.7114
Ru: 0.5000 0.0000 0.0000
Pd: 0.0000 0.5000 0.5000

Values from the calculation:
Calculated density   6.4 g/cm³
SG   Cmmm, No. 65
Formation energy from the elements   155.4 meV/atom
Magnetization   0.000 μB per cell
Relative energy among the computed polymorphs   13.84 kcal/mol of atoms
Uncorrected energy   -7.955 eV/atom

---

11.
Computed, not measured: TmGeIrRu after structural relaxation at the GGA-PBE level of DFT.

a b c (Å): 4.5204 4.5204 4.5204
angles (deg): 60.00 60.00 60.00
Fractional positions:
Ge: 0.0000 0.0000 0.0000
Tm: 0.5000 0.5000 0.5000
Ru: 0.2500 0.2500 0.2500
Ir: 0.7500 0.7500 0.7500

Values from the calculation:
Calculated density   13.6 g/cm³
SG   F-43m, No. 216
Formation energy from the elements   -509.7 meV/atom
Magnetization   0.000 μB per cell
Uncorrected energy   -7.316 eV/atom

---

12.
Computed, not measured: YCoC2 after structural relaxation at the GGA-PBE level of DFT.

a b c (Å): 4.1439 5.0525 4.8892
angles (deg): 90.00 90.00 114.21
Fractional positions:
C: 0.2526 0.1682 0.7500
C: 0.0844 0.8318 0.2500
C: 0.7474 0.8318 0.2500
C: 0.9156 0.1682 0.7500
Y: 0.8187 0.6373 0.7500
Y: 0.1813 0.3627 0.2500
Co: 0.5000 0.0000 0.5000
Co: 0.5000 0.0000 0.0000

Values from the calculation:
Calculated density   6.1 g/cm³
SG   Cmcm, No. 63
Formation energy from the elements   -291.1 meV/atom
Magnetization   0.000 μB per cell
Uncorrected energy   -8.296 eV/atom